First-principles (GGA-PBE) data for crystalline CeY2Er3 at its relaxed geometry, as listed in the Alexandria database.

Structure (POSCAR):
```
CeY2Er3
1.0
4.741 -6.498 0.000
4.741 6.498 0.000
0.000 0.000 6.253
Ce Y Er
2 4 6
direct
0.078 0.922 0.500
0.922 0.078 0.000
0.254 0.384 0.773
0.384 0.254 0.273
0.616 0.746 0.773
0.746 0.616 0.273
0.128 0.515 0.304
0.175 0.825 0.973
0.485 0.872 0.304
0.515 0.128 0.804
0.825 0.175 0.473
0.872 0.485 0.804
```

Summary:
Size of the total moment, μB per cell: 2.09
Fermi-level density of states, states/eV/cell: 25.88
Energy of formation, eV/atom: 0.265